DFT (PBE-GGA) results for crystalline HoLuZn at its relaxed geometry.

Properties
Formation energy = 0.0104 eV per atom
ΔE to the lowest computed polymorph = 0 meV per atom
V = 81 Å³/f.u.

Unit cell a=6.880 b=6.880 c=6.880 alpha=90.00 beta=90.00 gamma=90.00
Space group F-43m (No. 216)
Unique sites:
Ho: 0.000 0.000 0.000
Lu: 0.000 0.000 0.500
Zn: 0.250 0.250 0.250

DFT (PBE-GGA) results for crystalline HoLuZr at its relaxed geometry.

Properties
Formation energy = 0.9247 eV per atom
ΔE to the lowest computed polymorph = 0 meV per atom
V = 95 Å³/f.u.

Unit cell a=7.251 b=7.251 c=7.251 alpha=90.00 beta=90.00 gamma=90.00
Space group F-43m (No. 216)
Unique sites:
Ho: 0.000 0.000 0.000
Lu: 0.250 0.250 0.250
Zr: 0.000 0.000 0.500

DFT (PBE-GGA) results for crystalline Ho2Mg3 at its relaxed geometry.

Properties
E_tot = -2.41 eV per atom
V = 144 Å³/f.u.

Unit cell a=9.1885 b=9.1885 c=11.8025 alpha=90.00 beta=90.00 gamma=120.00
Space group R-3c (No. 167, hexagonal axes)
Unique sites:
Ho: 0.0000 0.0000 0.1246
Mg: 0.0000 0.3191 0.2500

DFT (PBE-GGA) results for crystalline Ho3Mg4 at its relaxed geometry.

Properties
ΔE to the lowest computed polymorph = 0 meV per atom
V = 187 Å³/f.u.

Unit cell a=8.9522 b=8.9522 c=5.3891 alpha=90.00 beta=90.00 gamma=120.00
Space group P6_3/m (No. 176)
Unique sites:
Ho: 0.0649 0.2521 0.2500
Mg: 0.1008 0.4863 0.7500
Mg: 0.3333 0.6667 0.2500